VASP calculation (PBEsol) on an optimized crystal structure of ScV2Ga4.

Unit cell a=5.119 b=5.202 c=5.202 alpha=75.99 beta=60.53 gamma=60.53
Sites, in units of the cell vectors:
Ga  0.300  0.399  0.000
Ga  0.700  0.601  0.000
Ga  0.700  0.000  0.601
Ga  0.300  0.000  0.399
Sc  0.000  0.000  0.000
V  0.750  0.500  0.500
V  0.250  0.500  0.500

Computed properties:
**DOS(E_F)**: 3.93 states/eV/cell
**DFT formation energy**: -45.13 kJ per mole of atoms
**E_tot**: -6.07 eV per atom
**Mass density**: 6.7 g/cm3

---

VASP calculation (PBEsol) on an optimized crystal structure of Y2ScGa2.

Unit cell a=4.216 b=7.377 c=7.377 alpha=90.00 beta=90.00 gamma=90.00
Sites, in units of the cell vectors:
Ga  0.000  0.877  0.623
Ga  0.000  0.623  0.123
Ga  0.000  0.377  0.877
Ga  0.000  0.123  0.377
Y  0.500  0.324  0.176
Y  0.500  0.824  0.324
Y  0.500  0.676  0.824
Y  0.500  0.176  0.676
Sc  0.000  0.500  0.500
Sc  0.000  0.000  0.000

Computed properties:
**DOS(E_F)**: 11.03 states/eV/cell
**DFT formation energy**: -58.10 kJ per mole of atoms
**E_tot**: -5.99 eV per atom
**Mass density**: 5.2 g/cm3

---

The highest DOS(E_F) belongs to which entry?
Y2ScGa2

---

mass density of number 2 (Y2ScGa2)?
5.2 g/cm3

---

Which of these has the lowest E_tot?
ScV2Ga4